Here is a relaxed NaBeZn2Ni crystal from Alexandria via LeMat-Bulk. Energies are from PBE.

```
5
Lattice="4.617 0.000 0.000 0.000 4.617 0.000 0.000 0.000 4.162" Properties=species:S:1:pos:R:3 pbc="T T T"
Na 0.000 0.000 0.000
Be 2.308 2.308 0.000
Zn 0.000 2.308 2.081
Zn 2.308 0.000 2.081
Ni 2.308 2.308 2.081
```

Output
Formation energy from the elements: 0.139 eV/atom
Calculated total energy: -2.536 eV/atom



Here is a relaxed KSi2Ag crystal from Alexandria via LeMat-Bulk. Energies are from PBE.

```
12
Lattice="3.037 0.000 0.000 -1.519 2.630 0.000 0.000 0.000 30.059" Properties=species:S:1:pos:R:3 pbc="T T T"
K 0.000 0.000 0.000
K 0.000 1.753 20.039
K 1.519 0.877 10.020
Si 0.000 0.000 7.182
Si 0.000 0.000 22.877
Si 0.000 1.753 12.857
Si 0.000 1.753 27.221
Si 1.519 0.877 2.838
Si 1.519 0.877 17.201
Ag 0.000 0.000 15.029
Ag 0.000 1.753 5.010
Ag 1.519 0.877 25.049
```

Output
Calculated total energy: -3.172 eV/atom
Energy above the lowest structure with this stoichiometry: 1.48 eV per formula unit
Formation energy from raw total energies: 526 meV/atom



Here is a relaxed V2CrNi crystal from Alexandria via LeMat-Bulk. Energies are from PBE.

```
4
Lattice="2.949 0.000 0.000 0.000 2.949 0.000 0.000 0.000 5.663" Properties=species:S:1:pos:R:3 pbc="T T T"
V 0.000 0.000 1.371
V 0.000 0.000 4.292
Cr 1.474 1.474 0.000
Ni 1.474 1.474 2.831
```

Output
Formation energy from the elements: -0.086 eV/atom
Calculated total energy: -8.496 eV/atom



Here is a relaxed Y2SeS2 crystal from Alexandria via LeMat-Bulk. Energies are from PBE.

```
10
Lattice="4.048 0.000 0.000 0.000 5.402 0.000 0.000 0.000 12.793" Properties=species:S:1:pos:R:3 pbc="T T T"
Y 0.000 0.000 2.054
Y 0.000 0.000 10.738
Y 2.024 2.701 4.342
Y 2.024 2.701 8.450
Se 0.000 2.701 6.396
Se 2.024 0.000 0.000
S 0.000 2.701 2.509
S 0.000 2.701 10.283
S 2.024 0.000 3.887
S 2.024 0.000 8.905
```

Output
Calculated total energy: -6.962 eV/atom
Energy above the lowest structure with this stoichiometry: 0.00 eV per formula unit
Formation energy from raw total energies: -2029 meV/atom



Here is a relaxed BeS crystal from Alexandria via LeMat-Bulk. Energies are from PBE.

```
16
Lattice="3.266 0.000 0.000 0.000 6.439 0.000 0.000 0.000 10.446" Properties=species:S:1:pos:R:3 pbc="T T T"
Be 0.000 0.000 0.000
Be 0.000 3.220 5.223
Be 0.816 1.610 2.612
Be 0.816 4.829 7.835
Be 1.633 0.000 5.223
Be 1.633 3.220 0.000
Be 2.449 1.610 7.835
Be 2.449 4.829 2.612
S 0.000 0.000 3.860
S 0.000 3.220 9.084
S 0.816 1.610 6.472
S 0.816 4.829 1.249
S 1.633 0.000 9.084
S 1.633 3.220 3.860
S 2.449 1.610 1.249
S 2.449 4.829 6.472
```

Output
Calculated total energy: -4.664 eV/atom
Energy above the lowest structure with this stoichiometry: 0.66 eV per formula unit
Formation energy from raw total energies: -737 meV/atom



Here is a relaxed Ga2HgAu8 crystal from Alexandria via LeMat-Bulk. Energies are from PBE.

```
11
Lattice="8.714 -1.764 0.000 8.714 1.764 0.000 -2.506 0.000 6.699" Properties=species:S:1:pos:R:3 pbc="T T T"
Ga 2.999 0.000 1.189
Ga 11.923 0.000 5.510
Hg 7.461 0.000 3.349
Au 0.353 0.000 1.532
Au 1.157 0.000 5.314
Au 4.301 0.000 3.530
Au 7.080 0.000 0.463
Au 7.842 0.000 6.235
Au 10.622 0.000 3.168
Au 13.765 0.000 1.385
Au 14.570 0.000 5.167
```

Output
Formation energy from the elements: -0.060 eV/atom
Calculated total energy: -3.021 eV/atom



Here is a relaxed ScCdRuRh crystal from Alexandria via LeMat-Bulk. Energies are from PBE.

```
16
Lattice="6.446 0.000 0.000 0.000 6.446 0.000 0.000 0.000 6.446" Properties=species:S:1:pos:R:3 pbc="T T T"
Sc 0.000 0.000 0.000
Sc 0.000 3.223 3.223
Sc 3.223 0.000 3.223
Sc 3.223 3.223 0.000
Cd 0.000 0.000 3.223
Cd 0.000 3.223 0.000
Cd 3.223 0.000 0.000
Cd 3.223 3.223 3.223
Ru 1.611 1.611 4.834
Ru 1.611 4.834 1.611
Ru 4.834 1.611 1.611
Ru 4.834 4.834 4.834
Rh 1.611 1.611 1.611
Rh 1.611 4.834 4.834
Rh 4.834 1.611 4.834
Rh 4.834 4.834 1.611
```

Output
Formation energy from the elements: -0.281 eV/atom
Calculated total energy: -6.250 eV/atom



Here is a relaxed AlTcNi2 crystal from Alexandria via LeMat-Bulk. Energies are from PBE.

```
4
Lattice="2.627 0.000 0.000 0.000 3.687 0.000 -0.029 0.000 5.176" Properties=species:S:1:pos:R:3 pbc="T T T"
Al 0.000 0.000 0.000
Tc -0.015 0.000 2.588
Ni 1.303 1.843 1.301
Ni 1.294 1.843 3.875
```

Output
Formation energy from the elements: -0.224 eV/atom
Calculated total energy: -6.642 eV/atom